[1]
A relaxed La5Sb2Pb crystal, computed with PBE.

abc: 6.8577 6.8602 6.9588
angles: 105.43 106.19 116.32
Last column: nearest neighbours and their distance in Å.
Space group P1 (No. 1)
Asymmetric unit:
La 0.0000 0.0000 0.0000  2 La 3.18-3.40, 4 Sb 3.38-3.52, 2 Pb 3.40-3.51
La 0.0039 0.5083 0.5495  4 Sb 3.42-3.57, 2 Pb 3.44-3.53, 4 La 3.49-3.63
La 0.4703 0.4701 0.9997  2 La 3.19-3.40, 4 Sb 3.38-3.53, 2 Pb 3.39-3.52
La 0.5062 0.0102 0.5496  4 Sb 3.42-3.55, 2 Pb 3.43-3.55, 4 La 3.51-3.63
La 0.9454 0.9511 0.4271  6 La 3.18-3.52, 1 Sb 3.47
Sb 0.4839 0.4891 0.5070  10 La 3.43-3.66
Sb 0.5288 0.0018 0.0626  9 La 3.38-3.57, 2 Pb 3.63
Pb 0.0028 0.5260 0.0605  9 La 3.39-3.58, 2 Sb 3.63

Uncorrected formation energy   -65.24 kJ per mole of atoms
DOS(E_F)   1.16 states/eV per atom
Total DFT energy (no corrections)   -42.0 eV per formula unit



[2]
A relaxed Ca2YIn2 crystal, computed with PBE.

abc: 9.2901 9.2901 3.4294
angles: 90.00 90.00 90.00
Last column: nearest neighbours and their distance in Å.
Space group P4/mbm (No. 127)
Asymmetric unit:
Ca 0.1246 0.3754 0.0000  6 In 3.14-3.30, 3 Ca 3.27-3.43
Y 0.0000 0.0000 0.0000  2 Y 3.43, 4 Ca 3.67, 8 In 3.83
In 0.1750 0.6750 0.5000  6 Ca 3.14-3.30, 2 In 3.43

DOS(E_F)   0.46 states/eV per atom
Total DFT energy (no corrections)   -17.1 eV per formula unit
Calculated formation energy   -1.2 eV per formula unit
Energy relative to the lowest polymorph listed for this composition   158 meV per atom